# 1
A geometry-optimized SbCl3F2 structure. Source: Alexandria via LeMat-Bulk, functional PBEsol.

Properties
density	2.89	g/cm3
total magnetization	0.002	Bohr magnetons per cell
ΔE_f (raw)	-1309.9	meV/atom

abc: 13.0768 13.0768 7.1426
angles: 90.00 90.00 90.00
Space group I-4 (No. 82)
Asymmetric unit:
Sb  0.0464  0.2804  0.2331 [8 per cell]
Cl  0.0405  0.3136  0.9163 [8 per cell]
Cl  0.0623  0.8582  0.2399 [8 per cell]
Cl  0.1990  0.7978  0.7549 [8 per cell]
F  0.0405  0.2994  0.4961 [8 per cell]
F  0.0782  0.6201  0.2477 [8 per cell]

***

# 2
A geometry-optimized Sr2SbClF structure. Source: Alexandria via LeMat-Bulk, functional PBEsol.

Properties
density	3.50	g/cm3
total magnetization	0.000	Bohr magnetons per cell
ΔE_f (raw)	-904.0	meV/atom

abc: 5.6991 5.6991 5.1309
angles: 90.00 90.00 90.00
Space group P4/mmm (No. 123)
Asymmetric unit:
Sr  0.0000  0.5000  0.0000 [2 per cell]
Sb  0.0000  0.0000  0.5000 [1 per cell]
Cl  0.0000  0.0000  0.0000 [1 per cell]
F  0.5000  0.5000  0.5000 [1 per cell]

***

# 3
A geometry-optimized Sb2TeClF structure. Source: Alexandria via LeMat-Bulk, functional PBEsol.

Properties
density	5.98	g/cm3
total magnetization	0.000	Bohr magnetons per cell
ΔE_f (raw)	-3.9	meV/atom

abc: 4.8715 4.8715 4.9831
angles: 90.00 90.00 90.00
Space group P4/mmm (No. 123)
Asymmetric unit:
Sb  0.0000  0.5000  0.0000 [2 per cell]
Te  0.0000  0.0000  0.5000 [1 per cell]
Cl  0.5000  0.5000  0.5000 [1 per cell]
F  0.0000  0.0000  0.0000 [1 per cell]

***

# 4
A geometry-optimized ScCl3F structure. Source: Alexandria via LeMat-Bulk, functional PBEsol.

Properties
density	2.96	g/cm3
total magnetization	0.554	Bohr magnetons per cell
ΔE_f (raw)	-423.0	meV/atom

abc: 4.5698 4.5698 4.5698
angles: 90.00 90.00 90.00
Space group Pm-3m (No. 221)
Asymmetric unit:
Sc  0.0000  0.0000  0.0000 [1 per cell]
Cl  0.0000  0.5000  0.5000 [3 per cell]
F  0.5000  0.5000  0.5000 [1 per cell]

***

# 5
A geometry-optimized Sc3ClF structure. Source: Alexandria via LeMat-Bulk, functional PBEsol.

Properties
density	3.48	g/cm3
total magnetization	0.002	Bohr magnetons per cell
ΔE_f (raw)	-660.7	meV/atom

abc: 4.4864 4.4864 4.4864
angles: 90.00 90.00 90.00
Space group Pm-3m (No. 221)
Asymmetric unit:
Sc  0.0000  0.0000  0.5000 [3 per cell]
Cl  0.5000  0.5000  0.5000 [1 per cell]
F  0.0000  0.0000  0.0000 [1 per cell]

***

# 6
A geometry-optimized SeClF2 structure. Source: Alexandria via LeMat-Bulk, functional PBEsol.

Properties
density	3.63	g/cm3
total magnetization	0.009	Bohr magnetons per cell
ΔE_f (raw)	-665.0	meV/atom

abc: 2.8631 2.8631 29.4612
angles: 90.00 90.00 120.00
Space group R-3m (No. 166, hexagonal axes)
Asymmetric unit:
Se  0.0000  0.0000  0.0000 [3 per cell]
Cl  0.0000  0.0000  0.5000 [3 per cell]
F  0.0000  0.0000  0.0618 [6 per cell]

***

# 7
A geometry-optimized SeCl2F structure. Source: Alexandria via LeMat-Bulk, functional PBEsol.

Properties
density	3.76	g/cm3
total magnetization	1.265	Bohr magnetons per cell
ΔE_f (raw)	49.8	meV/atom

abc: 3.2782 3.2782 24.0324
angles: 90.00 90.00 120.00
Space group R-3m (No. 166, hexagonal axes)
Asymmetric unit:
Se  0.0000  0.0000  0.0000 [3 per cell]
Cl  0.0000  0.0000  0.0924 [6 per cell]
F  0.0000  0.0000  0.5000 [3 per cell]

***

# 8
A geometry-optimized Te2SeClF structure. Source: Alexandria via LeMat-Bulk, functional PBEsol.

Properties
density	5.88	g/cm3
total magnetization	0.000	Bohr magnetons per cell
ΔE_f (raw)	181.5	meV/atom

abc: 4.7020 4.7020 4.9670
angles: 90.00 90.00 90.00
Space group P4/mmm (No. 123)
Asymmetric unit:
Te  0.0000  0.5000  0.0000 [2 per cell]
Se  0.0000  0.0000  0.5000 [1 per cell]
Cl  0.5000  0.5000  0.5000 [1 per cell]
F  0.5000  0.5000  0.0000 [1 per cell]